P | VASP calculation (GGA-PBE) on a geometry-optimized EuTmGa2 structure.

Cell: 5.133 5.133 5.133 Å, 60.00 60.00 60.00°
Atoms (fractional coordinates):
Eu: 0.000 0.000 0.000
Tm: 0.500 0.500 0.500
Ga: 0.250 0.250 0.250
Ga: 0.750 0.750 0.750

## Properties
Its space-group type is Fm-3m, No. 225. The value obtained for the total magnetization is 7.0 μB per formula unit. Its calculated volume is 95.7 Å³ per cell.

***

Q | VASP calculation (GGA-PBE) on a geometry-optimized EuTmGa2 structure.

Cell: 3.648 3.648 7.240 Å, 90.00 90.00 90.00°
Atoms (fractional coordinates):
Eu: 0.000 0.000 0.000
Tm: 0.000 0.000 0.500
Ga: 0.500 0.500 0.278
Ga: 0.500 0.500 0.722

## Properties
Its space-group type is P4/mmm, No. 123. The value obtained for the total magnetization is 7.2 μB per formula unit. Its calculated volume is 96.3 Å³ per cell.

***

R | VASP calculation (GGA-PBE) on a geometry-optimized EuTmGa2 structure.

Cell: 9.314 9.314 9.314 Å, 22.59 22.59 22.59°
Atoms (fractional coordinates):
Eu: 0.000 0.000 0.000
Tm: 0.500 0.500 0.500
Ga: 0.246 0.246 0.246
Ga: 0.754 0.754 0.754

## Properties
Its space-group type is R-3m, No. 166. The value obtained for the total magnetization is 7.2 μB per formula unit. Its calculated volume is 104.6 Å³ per cell.

***

In order of decreasing stability: Q, P, R.

***

P | VASP calculation (GGA-PBE) on a geometry-optimized Eu2GdHg structure.

Cell: 5.439 5.439 4.305 Å, 90.00 90.00 90.00°
Atoms (fractional coordinates):
Eu: 0.000 0.500 0.000
Eu: 0.500 0.000 0.000
Gd: 0.000 0.000 0.500
Hg: 0.500 0.500 0.500

## Properties
Its space-group type is P4/mmm, No. 123. The value obtained for the total magnetization is 7.5 μB per formula unit. Its calculated volume is 127.4 Å³ per cell.

***

Q | VASP calculation (GGA-PBE) on a geometry-optimized Eu2GdHg structure.

Cell: 12.107 12.107 12.107 Å, 17.41 17.41 17.41°
Atoms (fractional coordinates):
Eu: 0.096 0.096 0.096
Eu: 0.904 0.904 0.904
Gd: 0.000 0.000 0.000
Hg: 0.500 0.500 0.500

## Properties
Its space-group type is R-3m, No. 166. The value obtained for the total magnetization is 7.2 μB per formula unit. Its calculated volume is 138.7 Å³ per cell.

***

In order of decreasing stability: P, Q.

***

P | VASP calculation (GGA-PBE) on a geometry-optimized EuGdHo2 structure.

Cell: 5.740 5.740 5.740 Å, 60.00 60.00 60.00°
Atoms (fractional coordinates):
Eu: 0.000 0.000 0.000
Gd: 0.500 0.500 0.500
Ho: 0.250 0.250 0.250
Ho: 0.750 0.750 0.750

## Properties
Its space-group type is Fm-3m, No. 225. The value obtained for the total magnetization is 15.2 μB per formula unit. Its calculated volume is 133.7 Å³ per cell.

***

Q | VASP calculation (GGA-PBE) on a geometry-optimized EuGdHo2 structure.

Cell: 3.612 3.612 10.236 Å, 90.00 90.00 90.00°
Atoms (fractional coordinates):
Eu: 0.000 0.000 0.000
Gd: 0.000 0.000 0.500
Ho: 0.500 0.500 0.264
Ho: 0.500 0.500 0.736

## Properties
Its space-group type is P4/mmm, No. 123. The value obtained for the total magnetization is 0.4 μB per formula unit. Its calculated volume is 133.5 Å³ per cell.

***

In order of decreasing stability: Q, P.

***

P | VASP calculation (GGA-PBE) on a geometry-optimized Eu2GdHo structure.

Cell: 12.332 12.332 12.332 Å, 17.14 17.14 17.14°
Atoms (fractional coordinates):
Eu: 0.250 0.250 0.250
Eu: 0.750 0.750 0.750
Gd: 0.500 0.500 0.500
Ho: 0.000 0.000 0.000

## Properties
Its space-group type is R-3m, No. 166. The value obtained for the total magnetization is 22.7 μB per formula unit. Its calculated volume is 142.2 Å³ per cell.

***

Q | VASP calculation (GGA-PBE) on a geometry-optimized Eu2GdHo structure.

Cell: 5.874 5.874 4.106 Å, 90.00 90.00 90.00°
Atoms (fractional coordinates):
Eu: 0.000 0.500 0.000
Eu: 0.500 0.000 0.000
Gd: 0.000 0.000 0.500
Ho: 0.500 0.500 0.500

## Properties
Its space-group type is P4/mmm, No. 123. The value obtained for the total magnetization is 7.2 μB per formula unit. Its calculated volume is 141.7 Å³ per cell.

***

In order of decreasing stability: P, Q.

***

P | VASP calculation (GGA-PBE) on a geometry-optimized EuGdIn2 structure.

Cell: 5.059 5.059 4.466 Å, 90.00 90.00 90.00°
Atoms (fractional coordinates):
Eu: 0.000 0.000 0.000
Gd: 0.500 0.500 0.000
In: 0.000 0.500 0.500
In: 0.500 0.000 0.500

## Properties
Its space-group type is P4/mmm, No. 123. The value obtained for the total magnetization is 0.0 μB per formula unit. Its calculated volume is 114.3 Å³ per cell.

***

Q | VASP calculation (GGA-PBE) on a geometry-optimized EuGdIn2 structure.

Cell: 10.476 10.476 10.476 Å, 20.44 20.44 20.44°
Atoms (fractional coordinates):
Eu: 0.000 0.000 0.000
Gd: 0.500 0.500 0.500
In: 0.248 0.248 0.248
In: 0.752 0.752 0.752

## Properties
Its space-group type is R-3m, No. 166. The value obtained for the total magnetization is 0.2 μB per formula unit. Its calculated volume is 122.7 Å³ per cell.

***

In order of decreasing stability: P, Q.

***

P | VASP calculation (GGA-PBE) on a geometry-optimized EuGd2In structure.

Cell: 4.985 4.985 4.919 Å, 90.00 90.00 90.00°
Atoms (fractional coordinates):
Eu: 0.000 0.000 0.000
Gd: 0.000 0.500 0.500
Gd: 0.500 0.000 0.500
In: 0.500 0.500 0.000

## Properties
Its space-group type is P4/mmm, No. 123. The value obtained for the total magnetization is 7.7 μB per formula unit. Its calculated volume is 122.2 Å³ per cell.

***

Q | VASP calculation (GGA-PBE) on a geometry-optimized EuGd2In structure.

Cell: 3.605 3.605 9.868 Å, 90.00 90.00 90.00°
Atoms (fractional coordinates):
Eu: 0.000 0.000 0.000
Gd: 0.500 0.500 0.290
Gd: 0.500 0.500 0.710
In: 0.000 0.000 0.500

## Properties
Its space-group type is P4/mmm, No. 123. The value obtained for the total magnetization is 7.5 μB per formula unit. Its calculated volume is 128.2 Å³ per cell.

***

R | VASP calculation (GGA-PBE) on a geometry-optimized EuGd2In structure.

Cell: 5.536 5.536 5.536 Å, 60.00 60.00 60.00°
Atoms (fractional coordinates):
Eu: 0.000 0.000 0.000
Gd: 0.250 0.250 0.250
Gd: 0.750 0.750 0.750
In: 0.500 0.500 0.500

## Properties
Its space-group type is Fm-3m, No. 225. The value obtained for the total magnetization is 7.7 μB per formula unit. Its calculated volume is 120.0 Å³ per cell.

***

In order of decreasing stability: P, Q, R.

***

P | VASP calculation (GGA-PBE) on a geometry-optimized EuGdIr structure.

Cell: 4.882 4.882 4.882 Å, 60.00 60.00 60.00°
Atoms (fractional coordinates):
Eu: 0.000 0.000 0.000
Gd: 0.500 0.500 0.500
Ir: 0.250 0.250 0.250

## Properties
Its space-group type is F-43m, No. 216. The value obtained for the total magnetization is 14.2 μB per formula unit. Its calculated volume is 82.3 Å³ per cell.

***

Q | VASP calculation (GGA-PBE) on a geometry-optimized EuGdIr structure.

Cell: 7.155 7.155 7.155 Å, 151.62 151.62 40.57°
Atoms (fractional coordinates):
Eu: 0.000 0.000 0.000
Gd: 0.252 0.252 0.000
Ir: 0.640 0.640 0.000

## Properties
Its space-group type is I4mm, No. 107. The value obtained for the total magnetization is 0.0 μB per formula unit. Its calculated volume is 82.6 Å³ per cell.

***

In order of decreasing stability: P, Q.

***

P | VASP calculation (GGA-PBE) on a geometry-optimized LaEuGd2 structure.

Cell: 12.890 12.890 12.890 Å, 16.06 16.06 16.06°
Atoms (fractional coordinates):
La: 0.000 0.000 0.000
Eu: 0.500 0.500 0.500
Gd: 0.410 0.410 0.410
Gd: 0.590 0.590 0.590

## Properties
Its space-group type is R-3m, No. 166. The value obtained for the total magnetization is 22.5 μB per formula unit. Its calculated volume is 142.9 Å³ per cell.

***

Q | VASP calculation (GGA-PBE) on a geometry-optimized LaEuGd2 structure.

Cell: 3.684 3.684 10.486 Å, 90.00 90.00 90.00°
Atoms (fractional coordinates):
La: 0.000 0.000 0.000
Eu: 0.000 0.000 0.500
Gd: 0.500 0.500 0.239
Gd: 0.500 0.500 0.761

## Properties
Its space-group type is P4/mmm, No. 123. The value obtained for the total magnetization is 7.6 μB per formula unit. Its calculated volume is 142.3 Å³ per cell.

***

In order of decreasing stability: Q, P.

***

P | VASP calculation (GGA-PBE) on a geometry-optimized LaEuGd structure.

Cell: 9.907 9.907 9.907 Å, 160.35 160.35 27.93°
Atoms (fractional coordinates):
La: 0.000 0.000 0.000
Eu: 0.820 0.820 0.000
Gd: 0.170 0.170 0.000

## Properties
Its space-group type is I4mm, No. 107. The value obtained for the total magnetization is 15.2 μB per formula unit. Its calculated volume is 109.9 Å³ per cell.

***

Q | VASP calculation (GGA-PBE) on a geometry-optimized LaEuGd structure.

Cell: 5.916 5.916 3.557 Å, 90.00 90.00 120.00°
Atoms (fractional coordinates):
La: 0.000 0.000 0.000
Eu: 0.333 0.667 0.998
Gd: 0.667 0.333 0.499

## Properties
Its space-group type is P3m1, No. 156. The value obtained for the total magnetization is 0.0 μB per formula unit. Its calculated volume is 107.8 Å³ per cell.

***

In order of decreasing stability: Q, P.

***

P | VASP calculation (GGA-PBE) on a geometry-optimized EuGdLu structure.

Cell: 7.994 7.994 7.994 Å, 153.59 153.59 37.70°
Atoms (fractional coordinates):
Eu: 0.000 0.000 0.000
Gd: 0.318 0.318 0.000
Lu: 0.669 0.669 0.000

## Properties
Its space-group type is I4mm, No. 107. The value obtained for the total magnetization is 0.1 μB per formula unit. Its calculated volume is 101.0 Å³ per cell.

***

Q | VASP calculation (GGA-PBE) on a geometry-optimized EuGdLu structure.

Cell: 3.610 3.610 8.915 Å, 90.00 90.00 120.00°
Atoms (fractional coordinates):
Eu: 0.000 0.000 0.000
Gd: 0.667 0.333 0.648
Lu: 0.333 0.667 0.339

## Properties
Its space-group type is P3m1, No. 156. The value obtained for the total magnetization is 14.9 μB per formula unit. Its calculated volume is 100.6 Å³ per cell.

***

In order of decreasing stability: P, Q.

***

P | VASP calculation (GGA-PBE) on a geometry-optimized EuGdN structure.

Cell: 3.608 3.608 6.423 Å, 90.00 90.00 120.00°
Atoms (fractional coordinates):
Eu: 0.000 0.000 0.000
Gd: 0.667 0.333 0.438
N: 0.333 0.667 0.270

## Properties
Its space-group type is P3m1, No. 156. The value obtained for the total magnetization is 0.1 μB per formula unit. Its calculated volume is 72.4 Å³ per cell.

***

Q | VASP calculation (GGA-PBE) on a geometry-optimized EuGdN structure.

Cell: 4.342 4.342 4.342 Å, 60.00 60.00 60.00°
Atoms (fractional coordinates):
Eu: 0.000 0.000 0.000
Gd: 0.500 0.500 0.500
N: 0.250 0.250 0.250

## Properties
Its space-group type is F-43m, No. 216. The value obtained for the total magnetization is 0.1 μB per formula unit. Its calculated volume is 57.9 Å³ per cell.

***

R | VASP calculation (GGA-PBE) on a geometry-optimized EuGdN structure.

Cell: 6.804 6.804 6.804 Å, 152.41 152.41 39.42°
Atoms (fractional coordinates):
Eu: 0.000 0.000 0.000
Gd: 0.766 0.766 0.000
N: 0.331 0.331 0.000

## Properties
Its space-group type is I4mm, No. 107. The value obtained for the total magnetization is 0.3 μB per formula unit. Its calculated volume is 67.5 Å³ per cell.

***

In order of decreasing stability: P, R, Q.

***

P | VASP calculation (GGA-PBE) on a geometry-optimized NdEuGd2 structure.

Cell: 5.818 5.818 5.818 Å, 60.00 60.00 60.00°
Atoms (fractional coordinates):
Nd: 0.000 0.000 0.000
Eu: 0.500 0.500 0.500
Gd: 0.250 0.250 0.250
Gd: 0.750 0.750 0.750

## Properties
Its space-group type is Fm-3m, No. 225. The value obtained for the total magnetization is 22.6 μB per formula unit. Its calculated volume is 139.3 Å³ per cell.

***

Q | VASP calculation (GGA-PBE) on a geometry-optimized NdEuGd2 structure.

Cell: 12.280 12.280 12.280 Å, 17.09 17.09 17.09°
Atoms (fractional coordinates):
Nd: 0.000 0.000 0.000
Eu: 0.500 0.500 0.500
Gd: 0.253 0.253 0.253
Gd: 0.747 0.747 0.747

## Properties
Its space-group type is R-3m, No. 166. The value obtained for the total magnetization is 7.4 μB per formula unit. Its calculated volume is 139.5 Å³ per cell.

***

In order of decreasing stability: Q, P.

***

P | VASP calculation (GGA-PBE) on a geometry-optimized Nd2EuGd structure.

Cell: 5.228 5.228 5.176 Å, 90.00 90.00 90.00°
Atoms (fractional coordinates):
Nd: 0.000 0.500 0.000
Nd: 0.500 0.000 0.000
Eu: 0.000 0.000 0.500
Gd: 0.500 0.500 0.500

## Properties
Its space-group type is P4/mmm, No. 123. The value obtained for the total magnetization is 14.6 μB per formula unit. Its calculated volume is 141.5 Å³ per cell.

***

Q | VASP calculation (GGA-PBE) on a geometry-optimized Nd2EuGd structure.

Cell: 4.255 4.255 7.958 Å, 90.00 90.00 90.00°
Atoms (fractional coordinates):
Nd: 0.000 0.000 0.232
Nd: 0.000 0.000 0.768
Eu: 0.500 0.500 0.500
Gd: 0.500 0.500 0.000

## Properties
Its space-group type is P4/mmm, No. 123. The value obtained for the total magnetization is 15.6 μB per formula unit. Its calculated volume is 144.1 Å³ per cell.

***

In order of decreasing stability: P, Q.

***

P | VASP calculation (GGA-PBE) on a geometry-optimized EuGdPd structure.

Cell: 6.945 6.945 6.945 Å, 149.69 149.69 43.40°
Atoms (fractional coordinates):
Eu: 0.000 0.000 0.000
Gd: 0.266 0.266 0.000
Pd: 0.653 0.653 0.000

## Properties
Its space-group type is I4mm, No. 107. The value obtained for the total magnetization is 0.1 μB per formula unit. Its calculated volume is 85.1 Å³ per cell.

***

Q | VASP calculation (GGA-PBE) on a geometry-optimized EuGdPd structure.

Cell: 5.013 5.013 5.013 Å, 60.00 60.00 60.00°
Atoms (fractional coordinates):
Eu: 0.000 0.000 0.000
Gd: 0.500 0.500 0.500
Pd: 0.750 0.750 0.750

## Properties
Its space-group type is F-43m, No. 216. The value obtained for the total magnetization is 14.4 μB per formula unit. Its calculated volume is 89.1 Å³ per cell.

***

In order of decreasing stability: P, Q.